# Na3Mn2SbO6

A relaxed structure of Na3Mn2SbO6 (PBE with a Hubbard U, Alexandria via LeMat-Bulk).

Results
Its space-group type is C2/m (12). Its total energy is -6.09 eV per atom.

Cell and atoms, written as extended XYZ:
```
12
Lattice="5.7839 0.0007 0.0099 -0.9141 5.4873 -0.0201 -0.9211 -2.9411 4.6312" Properties=species:S:1:pos:R:3 pbc="T T T"
Sb 0.0000 0.0000 0.0000
Mn 4.8651 -0.1297 3.0900
Mn -0.9164 2.6767 1.5310
O 3.1462 3.2724 2.8818
O -0.2176 1.9452 3.5245
O 0.8025 -0.7254 1.7392
O 3.1441 0.6899 4.3070
O 4.1664 0.6018 1.0965
O 0.8047 1.8571 0.3139
Na 1.9720 -1.5058 3.8443
Na 1.9767 4.0528 0.7767
Na 1.9744 1.2735 2.3105
```

# NaMnSbO2

A relaxed structure of NaMnSbO2 (PBE with a Hubbard U, Alexandria via LeMat-Bulk).

Results
Its space-group type is P4/mmm (123). Its total energy is -4.58 eV per atom.

Cell and atoms, written as extended XYZ:
```
5
Lattice="4.1815 0.0000 0.0000 0.0000 6.1319 0.0000 0.0000 0.0000 4.1815" Properties=species:S:1:pos:R:3 pbc="T T T"
Sb 0.0000 0.0000 0.0000
Mn 2.0907 3.0660 2.0907
O 0.0000 0.0000 2.0907
O 2.0907 0.0000 0.0000
Na 0.0000 3.0660 0.0000
```

# Na3Sc2MnO6

A relaxed structure of Na3Sc2MnO6 (PBE with a Hubbard U, Alexandria via LeMat-Bulk).

Results
Its space-group type is C2/m (12). Its total energy is -6.82 eV per atom.

Cell and atoms, written as extended XYZ:
```
12
Lattice="-2.3395 -4.3873 2.1106 4.6980 -0.4399 -2.6291 1.9145 2.4041 4.8449" Properties=species:S:1:pos:R:3 pbc="T T T"
Na 4.5047 0.1168 0.5683
Na -0.2318 -2.5399 3.7582
Na 2.1365 -1.2116 2.1632
Sc 2.3643 -1.7489 -1.0574
Sc -0.0058 -3.0783 0.5389
Mn 0.0000 0.0000 0.0000
O 2.1960 -2.4419 4.2270
O 2.1429 -3.1338 0.5718
O 2.0769 0.0187 0.0994
O 4.4814 -1.1600 2.6878
O 2.1300 0.7107 3.7546
O -0.2085 -1.2632 1.6386
```

# NaScMn2O

A relaxed structure of NaScMn2O (PBE with a Hubbard U, Alexandria via LeMat-Bulk).

Results
Its space-group type is P4/mmm (123). Its total energy is -5.88 eV per atom.

Cell and atoms, written as extended XYZ:
```
5
Lattice="5.0014 0.0000 0.0000 0.0000 5.0014 0.0000 0.0000 0.0000 4.0574" Properties=species:S:1:pos:R:3 pbc="T T T"
Sc 0.0000 0.0000 2.0287
Na 2.5007 2.5007 2.0287
Mn 0.0000 2.5007 0.0000
Mn 2.5007 0.0000 0.0000
O 0.0000 0.0000 0.0000
```

# Na2MnSe2O6

A relaxed structure of Na2MnSe2O6 (PBE with a Hubbard U, Alexandria via LeMat-Bulk).

Results
Its space-group type is P-3 (147). Its total energy is -5.56 eV per atom.

Cell and atoms, written as extended XYZ:
```
11
Lattice="5.6021 0.0000 0.0000 -2.8010 4.8515 0.0000 0.0000 0.0000 5.9827" Properties=species:S:1:pos:R:3 pbc="T T T"
Na 0.0000 3.2344 2.4163
Na 2.8010 1.6172 3.5663
Mn 0.0000 0.0000 0.0000
Se 0.0000 3.2344 5.4100
Se 2.8010 1.6172 0.5727
O 0.4893 1.7613 4.6268
O -1.5203 3.5472 4.6268
O 1.0311 4.3946 4.6268
O 2.3118 3.0902 1.3559
O 4.3214 1.3044 1.3559
O 1.7700 0.4569 1.3559
```

# Na2Mn2SeO6

A relaxed structure of Na2Mn2SeO6 (PBE with a Hubbard U, Alexandria via LeMat-Bulk).

Results
Its space-group type is C2/m (12). Its total energy is -5.96 eV per atom.

Cell and atoms, written as extended XYZ:
```
11
Lattice="-5.0936 0.2558 1.3533 2.7816 -3.8525 2.2940 2.1360 4.7446 2.8396" Properties=species:S:1:pos:R:3 pbc="T T T"
Na -3.7199 -0.4608 1.5174
Na 1.4079 -3.1359 2.1299
Mn 1.2200 -0.1084 3.3997
Mn -1.3960 1.2563 3.0872
Se 1.0680 2.3723 1.4198
O -0.2360 0.5976 4.5856
O 2.3993 1.8606 2.9045
O 0.0600 0.5502 1.9013
O -0.3612 3.3007 2.5747
O -2.5753 -0.7127 3.5824
O 0.1852 -2.1528 3.9121
```

What is the formula in the fourth record? NaScMn2O

Which value of total energy does entry 6 give? -5.96 eV per atom

Copy entry 1 word for word.
# Na3Mn2SbO6

A relaxed structure of Na3Mn2SbO6 (PBE with a Hubbard U, Alexandria via LeMat-Bulk).

Results
Its space-group type is C2/m (12). Its total energy is -6.09 eV per atom.

Cell and atoms, written as extended XYZ:
```
12
Lattice="5.7839 0.0007 0.0099 -0.9141 5.4873 -0.0201 -0.9211 -2.9411 4.6312" Properties=species:S:1:pos:R:3 pbc="T T T"
Sb 0.0000 0.0000 0.0000
Mn 4.8651 -0.1297 3.0900
Mn -0.9164 2.6767 1.5310
O 3.1462 3.2724 2.8818
O -0.2176 1.9452 3.5245
O 0.8025 -0.7254 1.7392
O 3.1441 0.6899 4.3070
O 4.1664 0.6018 1.0965
O 0.8047 1.8571 0.3139
Na 1.9720 -1.5058 3.8443
Na 1.9767 4.0528 0.7767
Na 1.9744 1.2735 2.3105
```